(1)
YRh4, optimized geometry, DFT PBE; ΔE_f = 1.53 eV/atom; calculated volume = 111.8 Å³ per cell; space group = Pm-3m
1.0
4.8174 0.0000 0.0000
0.0000 4.8174 0.0000
0.0000 0.0000 4.8174
Y Rh
1 4
direct
0.0000 0.0000 0.0000 Y
0.0000 0.0000 0.5000 Rh
0.0000 0.5000 0.0000 Rh
0.5000 0.0000 0.0000 Rh
0.5000 0.5000 0.5000 Rh

=====

(2)
Rb2UBr3F3, optimized geometry, DFT PBE; calculated volume = 243.2 Å³ per cell; formation energy without anion corrections = -2.358 eV per atom; space group = P-62m
1.0
8.6302 0.0000 0.0000
-4.3151 7.4739 0.0000
0.0000 0.0000 3.7697
Rb U Br F
2 1 3 3
direct
0.3333 0.6667 0.0000 Rb
0.6667 0.3333 0.0000 Rb
0.0000 0.0000 0.5000 U
0.0000 0.6515 0.5000 Br
0.3485 0.3485 0.5000 Br
0.6515 0.0000 0.5000 Br
0.0000 0.1691 0.0000 F
0.1691 0.0000 0.0000 F
0.8309 0.8309 0.0000 F

=====

(3)
Ir2RuPt, optimized geometry, DFT PBE; ΔE_f = 0.04 eV/atom; calculated volume = 58.4 Å³ per cell; offset from the most stable computed form = 0.063 eV/atom; space group = P4/mmm
1.0
3.8840 0.0000 0.0000
0.0000 3.8840 0.0000
0.0000 0.0000 3.8708
Ir Ru Pt
2 1 1
direct
0.0000 0.5000 0.0000 Ir
0.5000 0.0000 0.0000 Ir
0.0000 0.0000 0.5000 Ru
0.5000 0.5000 0.5000 Pt

=====

(4)
Os2PtPbI, optimized geometry, DFT PBE; calculated volume = 128.8 Å³ per cell; formation energy without anion corrections = 1.819 eV per atom; space group = P4/mmm
1.0
4.8709 0.0000 0.0000
0.0000 4.8709 0.0000
0.0000 0.0000 5.4286
Os Pt Pb I
2 1 1 1
direct
0.0000 0.5000 0.0000 Os
0.5000 0.0000 0.0000 Os
0.0000 0.0000 0.0000 Pt
0.5000 0.5000 0.5000 Pb
0.0000 0.0000 0.5000 I

=====

(5)
Ho4HgRu, optimized geometry, DFT PBE; ΔE_f = -0.38 eV/atom; calculated volume = 320.5 Å³ per cell; offset from the most stable computed form = 0.000 eV/atom; space group = C2/c
1.0
4.2764 -6.2674 0.0000
4.2764 6.2674 0.0000
-1.6696 0.0000 5.9785
Ho Hg Ru
8 2 2
direct
0.0656 0.7255 0.9579 Ho
0.2049 0.3656 0.5936 Ho
0.2745 0.9344 0.5421 Ho
0.3656 0.2049 0.0936 Ho
0.6344 0.7951 0.9064 Ho
0.7255 0.0656 0.4579 Ho
0.7951 0.6344 0.4064 Ho
0.9344 0.2745 0.0421 Ho
0.3731 0.6269 0.2500 Hg
0.6269 0.3731 0.7500 Hg
0.0010 0.9990 0.7500 Ru
0.9990 0.0010 0.2500 Ru

=====

(6)
Dy2ZnAg3, optimized geometry, DFT PBE; ΔE_f = -0.29 eV/atom; calculated volume = 129.6 Å³ per cell; space group = Pmm2
1.0
3.3851 0.0000 0.0000
0.0000 4.6824 0.0000
0.0000 0.0000 8.1784
Dy Zn Ag
2 1 3
direct
0.0000 0.0000 0.0000 Dy
0.0000 0.5000 0.4999 Dy
0.5000 0.0000 0.3306 Zn
0.5000 0.0000 0.6555 Ag
0.5000 0.5000 0.1769 Ag
0.5000 0.5000 0.8378 Ag

=====

(7)
TmNi12Sn6, optimized geometry, DFT PBE; ΔE_f = -0.05 eV/atom; calculated volume = 310.1 Å³ per cell; space group = R-3m
1.0
5.4269 3.1332 3.0395
-5.4269 3.1332 3.0395
0.0000 -6.2665 3.0395
Tm Ni Sn
1 12 6
direct
0.0000 0.0000 0.0000 Tm
0.1023 0.3400 0.3400 Ni
0.1110 0.5000 0.8890 Ni
0.1110 0.8890 0.5000 Ni
0.3400 0.1023 0.3400 Ni
0.3400 0.3400 0.1023 Ni
0.5000 0.1110 0.8890 Ni
0.5000 0.8890 0.1110 Ni
0.6600 0.6600 0.8977 Ni
0.6600 0.8977 0.6600 Ni
0.8890 0.1110 0.5000 Ni
0.8890 0.5000 0.1110 Ni
0.8977 0.6600 0.6600 Ni
0.2700 0.2700 0.6866 Sn
0.2700 0.6866 0.2700 Sn
0.3134 0.7300 0.7300 Sn
0.6866 0.2700 0.2700 Sn
0.7300 0.3134 0.7300 Sn
0.7300 0.7300 0.3134 Sn

=====

(8)
AlTePdN2, optimized geometry, DFT PBE; calculated volume = 93.4 Å³ per cell; offset from the most stable computed form = 0.521 eV/atom; formation energy without anion corrections = 1.296 eV per atom; space group = P4/mmm
1.0
4.0271 0.0000 0.0000
0.0000 4.0271 0.0000
0.0000 0.0000 5.7566
Al Te Pd N
1 1 1 2
direct
0.0000 0.0000 0.0000 Al
0.5000 0.5000 0.0000 Te
0.5000 0.5000 0.5000 Pd
0.0000 0.5000 0.5000 N
0.5000 0.0000 0.5000 N

=====

(9)
La3Zn7Pd4, optimized geometry, DFT PBE; ΔE_f = -0.59 eV/atom; calculated volume = 274.6 Å³ per cell; space group = C2/m
1.0
7.8496 -2.2250 0.0000
7.8496 2.2250 0.0000
-5.2338 0.0000 7.8608
La Zn Pd
3 7 4
direct
0.0000 0.0000 0.0000 La
0.3013 0.3013 0.2999 La
0.6987 0.6987 0.7001 La
0.0000 0.0000 0.5000 Zn
0.1365 0.1365 0.4147 Zn
0.3249 0.3249 0.9825 Zn
0.4976 0.4976 0.7006 Zn
0.5024 0.5024 0.2994 Zn
0.6751 0.6751 0.0175 Zn
0.8635 0.8635 0.5853 Zn
0.1151 0.1151 0.8334 Pd
0.3362 0.3362 0.7108 Pd
0.6638 0.6638 0.2892 Pd
0.8849 0.8849 0.1666 Pd

=====

(10)
YSb2Au, optimized geometry, DFT PBE; calculated volume = 100.0 Å³ per cell; formation energy without anion corrections = -0.251 eV per atom; space group = Fm-3m
1.0
0.0000 3.6841 3.6841
3.6841 0.0000 3.6841
3.6841 3.6841 0.0000
Y Sb Au
1 2 1
direct
0.0000 0.0000 0.0000 Y
0.2500 0.2500 0.2500 Sb
0.7500 0.7500 0.7500 Sb
0.5000 0.5000 0.5000 Au

=====

(11)
Ho2Tm8Sn, optimized geometry, DFT PBE; ΔE_f = -0.10 eV/atom; calculated volume = 327.6 Å³ per cell; space group = C2/m
1.0
9.5568 -2.7263 0.0000
9.5568 2.7263 0.0000
-0.5582 0.0000 6.2873
Ho Tm Sn
2 8 1
direct
0.2437 0.2437 0.3350 Ho
0.7563 0.7563 0.6650 Ho
0.0447 0.0447 0.2668 Tm
0.1539 0.1539 0.8035 Tm
0.3382 0.3382 0.8759 Tm
0.4214 0.4214 0.4027 Tm
0.5786 0.5786 0.5973 Tm
0.6618 0.6618 0.1241 Tm
0.8461 0.8461 0.1965 Tm
0.9553 0.9553 0.7332 Tm
0.5000 0.5000 0.0000 Sn

=====

(12)
NdFeCoSi3, optimized geometry, DFT PBE; calculated volume = 201.4 Å³ per cell; formation energy without anion corrections = -0.395 eV per atom; space group = Cmcm
1.0
3.0104 -5.6721 0.0000
3.0104 5.6721 0.0000
0.0000 0.0000 5.8971
Nd Fe Co Si
2 2 2 6
direct
0.2416 0.7584 0.7500 Nd
0.7584 0.2416 0.2500 Nd
0.0307 0.9693 0.2500 Fe
0.9693 0.0307 0.7500 Fe
0.4008 0.5992 0.2500 Co
0.5992 0.4008 0.7500 Co
0.2160 0.7840 0.2500 Si
0.2876 0.2876 0.0000 Si
0.2876 0.2876 0.5000 Si
0.7124 0.7124 0.0000 Si
0.7124 0.7124 0.5000 Si
0.7840 0.2160 0.7500 Si